Material: Tb2ZrBi
Method: DFT, PBE
State: relaxed

a = 3.4472 Å, b = 3.4472 Å, c = 35.1537 Å
α = 90.00°, β = 90.00°, γ = 120.00°
Space group R-3m (No. 166, hexagonal axes)
One atom of each set of equivalent atoms:
Tb (0.0000, 0.0000, 0.0915) [6 per cell]
Zr (0.0000, 0.0000, 0.5000) [3 per cell]
Bi (0.0000, 0.0000, 0.0000) [3 per cell]

Calculated values
The electronic total energy is -5.358 eV per atom.

Material: TcBiTe2
Method: DFT, PBE
State: relaxed

a = 7.013 Å, b = 7.013 Å, c = 10.962 Å
α = 90.00°, β = 90.00°, γ = 90.00°
Space group I-42d (No. 122)
One atom of each set of equivalent atoms:
Tc (0.000, 0.000, 0.000) [4 per cell]
Bi (0.000, 0.000, 0.500) [4 per cell]
Te (0.182, 0.250, 0.125) [8 per cell]

Calculated values
The calculation puts the formation energy without anion corrections at 0.39 eV per atom.